Entry 1:
# BePdCl2, relaxed, DFT GGA-PBE
# ΔE to the lowest computed polymorph = 0.001 eV/atom
# formation energy (no corrections) = -406 meV/atom
# magnetic moment = 0.000 μB/f.u.
# electronic total energy = -3.559 eV per atom
data_BePdCl2
_chemical_formula_sum 'Be3 Pd3 Cl6'
_cell_length_a 3.1939
_cell_length_b 3.1939
_cell_length_c 22.3432
_cell_angle_alpha 90.00
_cell_angle_beta 90.00
_cell_angle_gamma 120.00
_space_group_name_H-M_alt 'R -3 m'
_space_group_IT_number 166
_space_group_name_Hall '-R 3 2"'
loop_
_atom_site_label
_atom_site_fract_x
_atom_site_fract_y
_atom_site_fract_z
_atom_site_occupancy
Be1 0.0000 0.0000 0.0000 1
Pd1 0.0000 0.0000 0.5000 1
Cl1 0.0000 0.0000 0.3903 1

Entry 2:
# BePdCl2, relaxed, DFT GGA-PBE
# ΔE to the lowest computed polymorph = 0.678 eV/atom
# formation energy (no corrections) = 271 meV/atom
# magnetic moment = 0.000 μB/f.u.
# electronic total energy = -2.882 eV per atom
data_BePdCl2
_chemical_formula_sum 'Be4 Pd4 Cl8'
_cell_length_a 6.3492
_cell_length_b 6.3492
_cell_length_c 6.3492
_cell_angle_alpha 90.00
_cell_angle_beta 90.00
_cell_angle_gamma 90.00
_space_group_name_H-M_alt 'F m -3 m'
_space_group_IT_number 225
_space_group_name_Hall '-F 4 2 3'
loop_
_atom_site_label
_atom_site_fract_x
_atom_site_fract_y
_atom_site_fract_z
_atom_site_occupancy
Be1 0.0000 0.0000 0.0000 1
Pd1 0.0000 0.0000 0.5000 1
Cl1 0.2500 0.2500 0.2500 1

Entry 3:
# BePd2Cl, relaxed, DFT GGA-PBE
# ΔE to the lowest computed polymorph = 0.000 eV/atom
# formation energy (no corrections) = 156 meV/atom
# magnetic moment = 0.000 μB/f.u.
# electronic total energy = -3.833 eV per atom
data_BePd2Cl
_chemical_formula_sum 'Be4 Pd8 Cl4'
_cell_length_a 4.8620
_cell_length_b 4.8620
_cell_length_c 12.5058
_cell_angle_alpha 90.00
_cell_angle_beta 90.00
_cell_angle_gamma 90.00
_space_group_name_H-M_alt 'I -4 2 d'
_space_group_IT_number 122
_space_group_name_Hall 'I -4 2bw'
loop_
_atom_site_label
_atom_site_fract_x
_atom_site_fract_y
_atom_site_fract_z
_atom_site_occupancy
Be1 0.0000 0.0000 0.0000 1
Pd1 0.1851 0.2500 0.1250 1
Cl1 0.0000 0.0000 0.5000 1

Entry 4:
# BePdPt2Cl, relaxed, DFT GGA-PBE
# formation energy (no corrections) = 432 meV/atom
# magnetic moment = 0.000 μB/f.u.
# electronic total energy = -4.138 eV per atom
data_BePdPt2Cl
_chemical_formula_sum 'Be1 Pd1 Pt2 Cl1'
_cell_length_a 4.3147
_cell_length_b 4.3147
_cell_length_c 4.3348
_cell_angle_alpha 90.00
_cell_angle_beta 90.00
_cell_angle_gamma 90.00
_space_group_name_H-M_alt 'P 4/m m m'
_space_group_IT_number 123
_space_group_name_Hall '-P 4 2'
loop_
_atom_site_label
_atom_site_fract_x
_atom_site_fract_y
_atom_site_fract_z
_atom_site_occupancy
Be1 0.0000 0.0000 0.0000 1
Pd1 0.5000 0.5000 0.5000 1
Pt1 0.0000 0.5000 0.0000 1
Cl1 0.0000 0.0000 0.5000 1

Entry 5:
# BePdSCl2, relaxed, DFT GGA-PBE
# ΔE to the lowest computed polymorph = 0.000 eV/atom
# formation energy (no corrections) = 35 meV/atom
# magnetic moment = 0.000 μB/f.u.
# electronic total energy = -3.313 eV per atom
data_BePdSCl2
_chemical_formula_sum 'Be1 Pd1 S1 Cl2'
_cell_length_a 4.2431
_cell_length_b 4.2431
_cell_length_c 4.8891
_cell_angle_alpha 90.00
_cell_angle_beta 90.00
_cell_angle_gamma 90.00
_space_group_name_H-M_alt 'P 4/m m m'
_space_group_IT_number 123
_space_group_name_Hall '-P 4 2'
loop_
_atom_site_label
_atom_site_fract_x
_atom_site_fract_y
_atom_site_fract_z
_atom_site_occupancy
Be1 0.0000 0.0000 0.0000 1
Pd1 0.5000 0.5000 0.5000 1
S1 0.0000 0.0000 0.5000 1
Cl1 0.0000 0.5000 0.0000 1

Entry 6:
# BePdSCl2, relaxed, DFT GGA-PBE
# ΔE to the lowest computed polymorph = 0.438 eV/atom
# formation energy (no corrections) = 473 meV/atom
# magnetic moment = 0.000 μB/f.u.
# electronic total energy = -2.875 eV per atom
data_BePdSCl2
_chemical_formula_sum 'Be1 Pd1 S1 Cl2'
_cell_length_a 4.7397
_cell_length_b 4.7397
_cell_length_c 4.8426
_cell_angle_alpha 90.00
_cell_angle_beta 90.00
_cell_angle_gamma 90.00
_space_group_name_H-M_alt 'P 4/m m m'
_space_group_IT_number 123
_space_group_name_Hall '-P 4 2'
loop_
_atom_site_label
_atom_site_fract_x
_atom_site_fract_y
_atom_site_fract_z
_atom_site_occupancy
Be1 0.0000 0.0000 0.0000 1
Pd1 0.5000 0.5000 0.5000 1
S1 0.5000 0.5000 0.0000 1
Cl1 0.0000 0.5000 0.5000 1

Entry 7:
# BeSbPd2Cl, relaxed, DFT GGA-PBE
# formation energy (no corrections) = 893 meV/atom
# magnetic moment = 0.000 μB/f.u.
# electronic total energy = -3.123 eV per atom
data_BeSbPd2Cl
_chemical_formula_sum 'Be1 Sb1 Pd2 Cl1'
_cell_length_a 4.4654
_cell_length_b 4.4654
_cell_length_c 5.6153
_cell_angle_alpha 90.00
_cell_angle_beta 90.00
_cell_angle_gamma 90.00
_space_group_name_H-M_alt 'P 4/m m m'
_space_group_IT_number 123
_space_group_name_Hall '-P 4 2'
loop_
_atom_site_label
_atom_site_fract_x
_atom_site_fract_y
_atom_site_fract_z
_atom_site_occupancy
Be1 0.0000 0.0000 0.0000 1
Sb1 0.5000 0.5000 0.0000 1
Pd1 0.0000 0.5000 0.5000 1
Cl1 0.5000 0.5000 0.5000 1

Entry 8:
# Sr2BePdCl, relaxed, DFT GGA-PBE
# formation energy (no corrections) = -626 meV/atom
# magnetic moment = 0.000 μB/f.u.
# electronic total energy = -3.452 eV per atom
data_Sr2BePdCl
_chemical_formula_sum 'Sr2 Be1 Pd1 Cl1'
_cell_length_a 5.8849
_cell_length_b 5.8849
_cell_length_c 4.0988
_cell_angle_alpha 90.00
_cell_angle_beta 90.00
_cell_angle_gamma 90.00
_space_group_name_H-M_alt 'P 4/m m m'
_space_group_IT_number 123
_space_group_name_Hall '-P 4 2'
loop_
_atom_site_label
_atom_site_fract_x
_atom_site_fract_y
_atom_site_fract_z
_atom_site_occupancy
Sr1 0.0000 0.5000 0.0000 1
Be1 0.0000 0.0000 0.0000 1
Pd1 0.0000 0.0000 0.5000 1
Cl1 0.5000 0.5000 0.5000 1

Entry 9:
# BeZnPdCl2, relaxed, DFT GGA-PBE
# formation energy (no corrections) = 426 meV/atom
# magnetic moment = 0.000 μB/f.u.
# electronic total energy = -2.351 eV per atom
data_BeZnPdCl2
_chemical_formula_sum 'Be1 Zn1 Pd1 Cl2'
_cell_length_a 4.8517
_cell_length_b 4.8517
_cell_length_c 5.0548
_cell_angle_alpha 90.00
_cell_angle_beta 90.00
_cell_angle_gamma 90.00
_space_group_name_H-M_alt 'P 4/m m m'
_space_group_IT_number 123
_space_group_name_Hall '-P 4 2'
loop_
_atom_site_label
_atom_site_fract_x
_atom_site_fract_y
_atom_site_fract_z
_atom_site_occupancy
Be1 0.0000 0.0000 0.0000 1
Zn1 0.5000 0.5000 0.0000 1
Pd1 0.5000 0.5000 0.5000 1
Cl1 0.0000 0.5000 0.5000 1

Entry 10:
# Pm3BeCl3, relaxed, DFT GGA-PBE
# formation energy (no corrections) = -1294 meV/atom
# magnetic moment = 0.000 μB/f.u.
# electronic total energy = -4.654 eV per atom
data_Pm3BeCl3
_chemical_formula_sum 'Pm24 Be8 Cl24'
_cell_length_a 11.4443
_cell_length_b 11.4443
_cell_length_c 11.4443
_cell_angle_alpha 90.00
_cell_angle_beta 90.00
_cell_angle_gamma 90.00
_space_group_name_H-M_alt 'I 41 3 2'
_space_group_IT_number 214
_space_group_name_Hall 'I 4bd 2c 3'
loop_
_atom_site_label
_atom_site_fract_x
_atom_site_fract_y
_atom_site_fract_z
_atom_site_occupancy
Pm1 0.1185 0.3685 0.1250 1
Be1 0.1250 0.1250 0.1250 1
Cl1 0.1198 0.1302 0.6250 1

Entry 11:
# Pm4BeCl5, relaxed, DFT GGA-PBE
# formation energy (no corrections) = -1530 meV/atom
# magnetic moment = 0.000 μB/f.u.
# electronic total energy = -4.726 eV per atom
data_Pm4BeCl5
_chemical_formula_sum 'Pm8 Be2 Cl10'
_cell_length_a 18.0236
_cell_length_b 3.9069
_cell_length_c 8.4356
_cell_angle_alpha 90.00
_cell_angle_beta 103.91
_cell_angle_gamma 90.00
_space_group_name_H-M_alt 'C 1 2/m 1'
_space_group_IT_number 12
loop_
_space_group_symop_operation_xyz
'x,y,z'
'-x,-y,-z'
'-x,y,-z'
'x,-y,z'
'x+1/2,y+1/2,z'
'-x+1/2,-y+1/2,-z'
'-x+1/2,y+1/2,-z'
'x+1/2,-y+1/2,z'
loop_
_atom_site_label
_atom_site_fract_x
_atom_site_fract_y
_atom_site_fract_z
_atom_site_occupancy
Pm1 0.0007 0.0000 0.2661 1
Pm2 0.1536 0.5000 0.5883 1
Be1 0.0000 0.5000 0.5000 1
Cl1 0.0000 0.5000 0.0000 1
Cl2 0.1650 0.0000 0.8324 1
Cl3 0.1713 0.0000 0.3487 1

Entry 12:
# PmBeCl, relaxed, DFT GGA-PBE
# formation energy (no corrections) = -996 meV/atom
# magnetic moment = 0.351 μB/f.u.
# electronic total energy = -4.437 eV per atom
data_PmBeCl
_chemical_formula_sum 'Pm6 Be6 Cl6'
_cell_length_a 3.9491
_cell_length_b 3.9491
_cell_length_c 33.6457
_cell_angle_alpha 90.00
_cell_angle_beta 90.00
_cell_angle_gamma 120.00
_space_group_name_H-M_alt 'R -3 m'
_space_group_IT_number 166
_space_group_name_Hall '-R 3 2"'
loop_
_atom_site_label
_atom_site_fract_x
_atom_site_fract_y
_atom_site_fract_z
_atom_site_occupancy
Pm1 0.0000 0.0000 0.0586 1
Be1 0.0000 0.0000 0.3342 1
Cl1 0.0000 0.0000 0.2231 1

Entry 13:
# Pr7BeCl12, relaxed, DFT GGA-PBE
# formation energy (no corrections) = -1829 meV/atom
# magnetic moment = 0.000 μB/f.u.
# electronic total energy = -4.796 eV per atom
data_Pr7BeCl12
_chemical_formula_sum 'Pr21 Be3 Cl36'
_cell_length_a 14.8686
_cell_length_b 14.8686
_cell_length_c 9.8439
_cell_angle_alpha 90.00
_cell_angle_beta 90.00
_cell_angle_gamma 120.00
_space_group_name_H-M_alt 'R -3'
_space_group_IT_number 148
_space_group_name_Hall '-R 3'
loop_
_atom_site_label
_atom_site_fract_x
_atom_site_fract_y
_atom_site_fract_z
_atom_site_occupancy
Pr1 0.0000 0.0000 0.0000 1
Pr2 0.0415 0.8727 0.3375 1
Be1 0.0000 0.0000 0.5000 1
Cl1 0.0294 0.4459 0.1628 1
Cl2 0.0444 0.8665 0.8425 1

Entry 14:
# Pr4BeCl5, relaxed, DFT GGA-PBE
# formation energy (no corrections) = -1525 meV/atom
# magnetic moment = 0.000 μB/f.u.
# electronic total energy = -4.733 eV per atom
data_Pr4BeCl5
_chemical_formula_sum 'Pr8 Be2 Cl10'
_cell_length_a 18.3619
_cell_length_b 3.9817
_cell_length_c 8.5925
_cell_angle_alpha 90.00
_cell_angle_beta 104.41
_cell_angle_gamma 90.00
_space_group_name_H-M_alt 'C 1 2/m 1'
_space_group_IT_number 12
loop_
_space_group_symop_operation_xyz
'x,y,z'
'-x,-y,-z'
'-x,y,-z'
'x,-y,z'
'x+1/2,y+1/2,z'
'-x+1/2,-y+1/2,-z'
'-x+1/2,y+1/2,-z'
'x+1/2,-y+1/2,z'
loop_
_atom_site_label
_atom_site_fract_x
_atom_site_fract_y
_atom_site_fract_z
_atom_site_occupancy
Pr1 0.0011 0.0000 0.2651 1
Pr2 0.1542 0.5000 0.5919 1
Be1 0.0000 0.5000 0.5000 1
Cl1 0.0000 0.5000 0.0000 1
Cl2 0.1644 0.0000 0.8347 1
Cl3 0.1706 0.0000 0.3524 1

Entry 15:
# Pr2BeCl, relaxed, DFT GGA-PBE
# formation energy (no corrections) = -611 meV/atom
# magnetic moment = 0.000 μB/f.u.
# electronic total energy = -4.394 eV per atom
data_Pr2BeCl
_chemical_formula_sum 'Pr6 Be3 Cl3'
_cell_length_a 4.0556
_cell_length_b 4.0556
_cell_length_c 21.9260
_cell_angle_alpha 90.00
_cell_angle_beta 90.00
_cell_angle_gamma 120.00
_space_group_name_H-M_alt 'R -3 m'
_space_group_IT_number 166
_space_group_name_Hall '-R 3 2"'
loop_
_atom_site_label
_atom_site_fract_x
_atom_site_fract_y
_atom_site_fract_z
_atom_site_occupancy
Pr1 0.0000 0.0000 0.2445 1
Be1 0.0000 0.0000 0.5000 1
Cl1 0.0000 0.0000 0.0000 1

Entry 16:
# PrBeCl, relaxed, DFT GGA-PBE
# formation energy (no corrections) = -865 meV/atom
# magnetic moment = 0.000 μB/f.u.
# electronic total energy = -4.315 eV per atom
data_PrBeCl
_chemical_formula_sum 'Pr4 Be4 Cl4'
_cell_length_a 3.7176
_cell_length_b 17.0630
_cell_length_c 4.0485
_cell_angle_alpha 90.00
_cell_angle_beta 90.00
_cell_angle_gamma 90.00
_space_group_name_H-M_alt 'C m c m'
_space_group_IT_number 63
_space_group_name_Hall '-C 2c 2'
loop_
_atom_site_label
_atom_site_fract_x
_atom_site_fract_y
_atom_site_fract_z
_atom_site_occupancy
Pr1 0.0000 0.1114 0.2500 1
Be1 0.0000 0.4852 0.2500 1
Cl1 0.0000 0.3101 0.2500 1

Entry 17:
# BePt2Cl, relaxed, DFT GGA-PBE
# ΔE to the lowest computed polymorph = 0.626 eV/atom
# formation energy (no corrections) = 417 meV/atom
# magnetic moment = 0.000 μB/f.u.
# electronic total energy = -3.997 eV per atom
data_BePt2Cl
_chemical_formula_sum 'Be2 Pt4 Cl2'
_cell_length_a 3.5076
_cell_length_b 3.5076
_cell_length_c 9.8097
_cell_angle_alpha 90.00
_cell_angle_beta 90.00
_cell_angle_gamma 90.00
_space_group_name_H-M_alt 'I -4 m 2'
_space_group_IT_number 119
_space_group_name_Hall 'I -4 -2'
loop_
_atom_site_label
_atom_site_fract_x
_atom_site_fract_y
_atom_site_fract_z
_atom_site_occupancy
Be1 0.0000 0.0000 0.0000 1
Pt1 0.0000 0.0000 0.5000 1
Pt2 0.0000 0.5000 0.2500 1
Cl1 0.0000 0.5000 0.7500 1

Entry 18:
# BePtCl, relaxed, DFT GGA-PBE
# ΔE to the lowest computed polymorph = 1.125 eV/atom
# formation energy (no corrections) = 334 meV/atom
# magnetic moment = 0.000 μB/f.u.
# electronic total energy = -3.537 eV per atom
data_BePtCl
_chemical_formula_sum 'Be1 Pt1 Cl1'
_cell_length_a 4.2288
_cell_length_b 4.2288
_cell_length_c 3.0522
_cell_angle_alpha 90.00
_cell_angle_beta 90.00
_cell_angle_gamma 120.00
_space_group_name_H-M_alt 'P 3 m 1'
_space_group_IT_number 156
loop_
_space_group_symop_operation_xyz
'x,y,z'
'-y,x-y,z'
'-x+y,-x,z'
'-y,-x,z'
'-x+y,y,z'
'x,x-y,z'
loop_
_atom_site_label
_atom_site_fract_x
_atom_site_fract_y
_atom_site_fract_z
_atom_site_occupancy
Be1 0.0000 0.0000 0.0000 1
Pt1 0.3333 0.6667 0.9390 1
Cl1 0.6667 0.3333 0.7218 1

Entry 19:
# BePt2Cl, relaxed, DFT GGA-PBE
# ΔE to the lowest computed polymorph = 0.015 eV/atom
# formation energy (no corrections) = -195 meV/atom
# magnetic moment = 0.000 μB/f.u.
# electronic total energy = -4.608 eV per atom
data_BePt2Cl
_chemical_formula_sum 'Be3 Pt6 Cl3'
_cell_length_a 2.7556
_cell_length_b 2.7556
_cell_length_c 29.7889
_cell_angle_alpha 90.00
_cell_angle_beta 90.00
_cell_angle_gamma 120.00
_space_group_name_H-M_alt 'R -3 m'
_space_group_IT_number 166
_space_group_name_Hall '-R 3 2"'
loop_
_atom_site_label
_atom_site_fract_x
_atom_site_fract_y
_atom_site_fract_z
_atom_site_occupancy
Be1 0.0000 0.0000 0.0000 1
Pt1 0.0000 0.0000 0.2751 1
Cl1 0.0000 0.0000 0.5000 1

Entry 20:
# BePt2Cl, relaxed, DFT GGA-PBE
# ΔE to the lowest computed polymorph = 0.612 eV/atom
# formation energy (no corrections) = 403 meV/atom
# magnetic moment = 0.000 μB/f.u.
# electronic total energy = -4.011 eV per atom
data_BePt2Cl
_chemical_formula_sum 'Be2 Pt4 Cl2'
_cell_length_a 3.9958
_cell_length_b 3.9958
_cell_length_c 7.3634
_cell_angle_alpha 90.00
_cell_angle_beta 90.00
_cell_angle_gamma 90.00
_space_group_name_H-M_alt 'I 4/m m m'
_space_group_IT_number 139
_space_group_name_Hall '-I 4 2'
loop_
_atom_site_label
_atom_site_fract_x
_atom_site_fract_y
_atom_site_fract_z
_atom_site_occupancy
Be1 0.0000 0.0000 0.0000 1
Pt1 0.0000 0.5000 0.2500 1
Cl1 0.0000 0.0000 0.5000 1